(1)
La3Tb5Er2 | PBE | optimized geometry

The raw total energy comes out at -180.7 eV for the cell shown. The value obtained for the total magnetic moment is 0.0 μB per formula unit. Its formation energy is 18 kJ/mol of atoms. The theoretical density is 7.57 Mg/m³. The value obtained for the volume is 33.9 Å³ per atom.

The space group is C2/c (No. 15) and the conventional cell measures 10.8101, 16.2206 and 9.4187 Å, with angles of 90.00, 124.78 and 90.00 degrees. The distinct sites, in fractional coordinates, are La at (0.0000, 0.2339, 0.2500), La at (0.1416, 0.1267, 0.0441), Tb at (0.0000, 0.0256, 0.2500), Tb at (0.0000, 0.2745, 0.7500), Tb at (0.0000, 0.4695, 0.7500), Tb at (0.2337, 0.3881, 0.2227) and Er at (0.1524, 0.3841, 0.5448).

(2)
La7Tb16Er6 | PBE | optimized geometry

The raw total energy comes out at -511.7 eV for the cell shown. The value obtained for the total magnetic moment is 0.0 μB per formula unit. Its formation energy is 27 kJ/mol of atoms. The theoretical density is 7.33 Mg/m³. The value obtained for the volume is 35.3 Å³ per atom.

The space group is Fm-3m (No. 225) and the conventional cell measures 15.9997, 15.9997 and 15.9997 Å, with angles of 90.00, 90.00 and 90.00 degrees. The distinct sites, in fractional coordinates, are La at (0.0000, 0.0000, 0.0000), La at (0.0000, 0.2500, 0.2500), Tb at (0.1297, 0.1297, 0.1297), Tb at (0.1506, 0.1506, 0.3494) and Er at (0.0000, 0.0000, 0.2529).

(3)
La2Tb7Er4 | PBE | optimized geometry

The raw total energy comes out at -58.0 eV for the cell shown. The value obtained for the total magnetic moment is 0.0 μB per formula unit. Its formation energy is 19 kJ/mol of atoms. The theoretical density is 7.99 Mg/m³. The value obtained for the volume is 32.9 Å³ per atom.

The space group is P-31m (No. 162) and the conventional cell measures 6.0985, 6.0985 and 13.2893 Å, with angles of 90.00, 90.00 and 120.00 degrees. The distinct sites, in fractional coordinates, are La at (0.3333, 0.6667, 0.0000), Tb at (0.0000, 0.0000, 0.0000), Tb at (0.0000, 0.3586, 0.7804), Er at (0.0000, 0.0000, 0.3949) and Er at (0.3333, 0.6667, 0.5000).